Record 1
Compound: PrSc2Cu2Ge2
Source: the Alexandria database
Functional: PBE
Structure: relaxed

```
PrSc2Cu2Ge2
1.0
4.363 0.000 0.000
2.181 3.778 0.000
2.181 1.259 8.269
Pr Sc Cu Ge
1 2 2 2
Direct
0.000 0.000 0.000
0.136 0.136 0.593
0.864 0.864 0.407
0.561 0.561 0.318
0.439 0.439 0.682
0.744 0.744 0.767
0.256 0.256 0.233
```

Output
Space group ... R-3m (166)
Fermi-level density of states ... 4.0 states/eV/cell
Total moment ... 0.000 μB per atom
Crystal system ... trigonal
Uncorrected energy ... -38.597 eV per cell

***

Record 2
Compound: PrScCuGe
Source: the Alexandria database
Functional: PBE
Structure: relaxed

```
PrScCuGe
1.0
4.954 0.000 0.000
2.477 4.291 0.000
2.477 1.430 4.045
Pr Sc Ge Cu
1 1 1 1
Direct
0.000 0.000 0.000
0.500 0.500 0.500
0.250 0.250 0.250
0.750 0.750 0.750
```

Output
Space group ... F-43m (216)
Fermi-level density of states ... 3.6 states/eV/cell
Total moment ... 0.000 μB per atom
Crystal system ... cubic
Uncorrected energy ... -21.544 eV per cell

***

Record 3
Compound: Pr2ScCu3Ge4
Source: the Alexandria database
Functional: PBE
Structure: relaxed

```
Pr2ScCu3Ge4
1.0
4.280 0.000 0.000
0.000 4.280 0.000
0.000 0.000 10.633
Pr Sc Cu Ge
2 1 3 4
Direct
0.500 0.000 0.233
0.000 0.500 0.767
0.500 0.500 0.500
0.000 0.000 0.500
0.500 0.000 0.879
0.000 0.500 0.121
0.500 0.500 0.000
0.000 0.000 0.000
0.500 0.000 0.650
0.000 0.500 0.350
```

Output
Space group ... P-4m2 (115)
Fermi-level density of states ... 2.2 states/eV/cell
Total moment ... 0.000 μB per atom
Crystal system ... tetragonal
Uncorrected energy ... -52.394 eV per cell

***

Record 4
Compound: Pr3CuGeSe7
Source: the Alexandria database
Functional: PBE
Structure: relaxed

```
Pr3CuGeSe7
1.0
10.715 0.000 0.000
-5.357 9.279 0.000
0.000 0.000 6.181
Pr Cu Ge Se
6 2 2 14
Direct
0.129 0.355 0.748
0.226 0.871 0.748
0.645 0.774 0.748
0.355 0.226 0.248
0.774 0.129 0.248
0.871 0.645 0.248
0.000 0.000 0.218
0.000 0.000 0.718
0.667 0.333 0.832
0.333 0.667 0.332
0.162 0.907 0.229
0.255 0.162 0.729
0.518 0.100 0.991
0.333 0.667 0.950
0.907 0.745 0.729
0.667 0.333 0.450
0.581 0.482 0.991
0.100 0.581 0.491
0.419 0.518 0.491
0.745 0.838 0.229
0.900 0.419 0.991
0.838 0.093 0.729
0.093 0.255 0.229
0.482 0.900 0.491
```

Output
Space group ... P6_3 (173)
Total moment ... 0.000 μB per atom
Energy relative to the elements, uncorrected ... -1.322 eV per atom
Crystal system ... hexagonal

***

Record 5
Compound: Pr2Cu4SiGe3
Source: the Alexandria database
Functional: PBE
Structure: relaxed

```
Pr2Cu4SiGe3
1.0
4.198 0.000 0.000
0.000 4.198 0.000
0.000 0.000 10.053
Pr Cu Si Ge
2 4 1 3
Direct
0.500 0.000 0.251
0.000 0.500 0.749
0.500 0.500 0.000
0.000 0.000 0.000
0.500 0.000 0.625
0.000 0.500 0.375
0.500 0.500 0.500
0.000 0.000 0.500
0.500 0.000 0.869
0.000 0.500 0.131
```

Output
Space group ... P-4m2 (115)
Fermi-level density of states ... 2.0 states/eV/cell
Total moment ... 0.000 μB per atom
Energy relative to the elements, uncorrected ... -0.513 eV per atom
Crystal system ... tetragonal

***

Record 6
Compound: Pr2Cu4Si3Ge
Source: the Alexandria database
Functional: PBE
Structure: relaxed

```
Pr2Cu4Si3Ge
1.0
-2.885 2.974 -0.002
-2.951 -2.863 -0.509
-0.885 -0.852 9.916
Pr Cu Si Ge
2 4 3 1
Direct
0.500 0.000 0.246
0.000 0.500 0.754
0.500 0.500 0.000
0.000 0.000 0.000
0.500 0.000 0.634
0.000 0.500 0.366
0.000 0.000 0.500
0.500 0.000 0.873
0.000 0.500 0.127
0.500 0.500 0.500
```

Output
Space group ... P-4m2 (115)
Fermi-level density of states ... 2.3 states/eV/cell
Total moment ... 0.000 μB per atom
Energy relative to the elements, uncorrected ... -0.523 eV per atom
Crystal system ... tetragonal

***

Record 7
Compound: Pr2SmCu2Ge2
Source: the Alexandria database
Functional: PBE
Structure: relaxed

```
Pr2SmCu2Ge2
1.0
4.298 0.000 0.000
2.149 3.722 0.000
2.149 1.241 10.372
Pr Sm Cu Ge
2 1 2 2
Direct
0.122 0.122 0.634
0.878 0.878 0.366
0.000 0.000 0.000
0.607 0.607 0.179
0.393 0.393 0.821
0.729 0.729 0.814
0.271 0.271 0.186
```

Output
Space group ... R-3m (166)
Fermi-level density of states ... 5.7 states/eV/cell
Total moment ... 0.000 μB per atom
Crystal system ... trigonal
Uncorrected energy ... -35.143 eV per cell

***

Record 8
Compound: PrSmCuGe
Source: the Alexandria database
Functional: PBE
Structure: relaxed

```
PrSmCuGe
1.0
-4.835 1.149 1.296
-3.321 -3.755 1.117
-1.590 -0.667 4.838
Pr Ge Cu Sm
1 1 1 1
Direct
0.000 0.000 0.000
0.750 0.750 0.750
0.250 0.250 0.250
0.500 0.500 0.500
```

Output
Space group ... F-43m (216)
Fermi-level density of states ... 3.8 states/eV/cell
Total moment ... 0.000 μB per atom
Crystal system ... cubic
Uncorrected energy ... -20.031 eV per cell

***

Record 9
Compound: PrSm2Cu2Ge2
Source: the Alexandria database
Functional: PBE
Structure: relaxed

```
PrSm2Cu2Ge2
1.0
-1.554 2.198 3.400
-2.899 -1.854 2.639
5.775 -3.336 7.562
Pr Sm Cu Ge
1 2 2 2
Direct
0.000 0.000 0.000
0.126 0.126 0.621
0.874 0.874 0.379
0.597 0.597 0.208
0.403 0.403 0.792
0.736 0.736 0.791
0.264 0.264 0.209
```

Output
Space group ... R-3m (166)
Fermi-level density of states ... 3.3 states/eV/cell
Total moment ... 0.000 μB per atom
Crystal system ... trigonal
Uncorrected energy ... -35.072 eV per cell

***

Record 10
Compound: Pr2Cu4SnGe3
Source: the Alexandria database
Functional: PBE
Structure: relaxed

```
Pr2Cu4SnGe3
1.0
-1.553 0.007 3.977
3.895 -0.860 1.523
1.950 10.154 0.745
Pr Cu Sn Ge
2 4 1 3
Direct
0.500 0.000 0.235
0.000 0.500 0.765
0.500 0.500 0.000
0.000 0.000 0.000
0.500 0.000 0.644
0.000 0.500 0.356
0.500 0.500 0.500
0.000 0.000 0.500
0.500 0.000 0.876
0.000 0.500 0.124
```

Output
Space group ... P-4m2 (115)
Fermi-level density of states ... 3.3 states/eV/cell
Total moment ... 0.000 μB per atom
Crystal system ... tetragonal
Uncorrected energy ... -48.674 eV per cell

***

Record 11
Compound: SrPr2Cu2Ge2
Source: the Alexandria database
Functional: PBE
Structure: relaxed

```
SrPr2Cu2Ge2
1.0
4.434 0.000 0.000
2.217 3.840 0.000
2.217 1.280 10.085
Sr Pr Cu Ge
1 2 2 2
Direct
0.000 0.000 0.000
0.127 0.127 0.619
0.873 0.873 0.381
0.594 0.594 0.217
0.406 0.406 0.783
0.742 0.742 0.775
0.258 0.258 0.225
```

Output
Space group ... R-3m (166)
Fermi-level density of states ... 2.7 states/eV/cell
Total moment ... 0.000 μB per atom
Crystal system ... trigonal
Uncorrected energy ... -31.755 eV per cell

***

Record 12
Compound: TbPrCu2Ge2
Source: the Alexandria database
Functional: PBE
Structure: relaxed

```
TbPrCu2Ge2
1.0
-2.983 -2.666 1.541
4.045 -1.344 -0.460
1.589 2.342 7.129
Tb Pr Cu Ge
1 1 2 2
Direct
0.000 0.000 0.500
0.000 0.000 0.000
0.333 0.667 0.730
0.667 0.333 0.270
0.333 0.667 0.261
0.667 0.333 0.739
```

Output
Space group ... P-3m1 (164)
Fermi-level density of states ... 1.4 states/eV/cell
Total moment ... 0.000 μB per atom
Crystal system ... trigonal
Uncorrected energy ... -30.877 eV per cell